# 1
This record from Alexandria describes an optimized crystal structure of UZnBi. The functional is PBE-GGA.

CIF file:
```
data_UZnBi
_symmetry_space_group_name_H-M 'P n m a'
_symmetry_Int_Tables_number 62
_cell_length_a 6.398
_cell_length_b 4.003
_cell_length_c 10.732
_cell_angle_alpha 90.00
_cell_angle_beta 90.00
_cell_angle_gamma 90.00
loop_
_symmetry_equiv_pos_as_xyz
'x,y,z'
'-x,-y,-z'
'-x+1/2,-y,z+1/2'
'x+1/2,y,-z+1/2'
'x+1/2,-y+1/2,-z+1/2'
'-x+1/2,y+1/2,z+1/2'
'-x,y+1/2,-z'
'x,-y+1/2,z'
loop_
_atom_site_label
_atom_site_fract_x
_atom_site_fract_y
_atom_site_fract_z
U1 0.080 0.250 0.059
Zn1 0.161 0.250 0.758
Bi1 0.087 0.250 0.384
```

Calculated values
For the calculated formation energy, the calculation gives 0.092 eV per atom. The calculation puts the volume at 275 Å³/cell. The total moment comes out at 1.495 μB per formula unit.

---

# 2
This record from Alexandria describes an optimized crystal structure of UZnBi2. The functional is PBE-GGA.

CIF file:
```
data_UZnBi2
_symmetry_space_group_name_H-M 'P 4/m m m'
_symmetry_Int_Tables_number 123
_symmetry_space_group_name_Hall '-P 4 2'
_cell_length_a 4.042
_cell_length_b 4.042
_cell_length_c 6.521
_cell_angle_alpha 90.00
_cell_angle_beta 90.00
_cell_angle_gamma 90.00
loop_
_atom_site_label
_atom_site_fract_x
_atom_site_fract_y
_atom_site_fract_z
U1 0.000 0.000 0.000
Zn1 0.000 0.000 0.500
Bi1 0.500 0.500 0.252
```

Calculated values
For the calculated formation energy, the calculation gives 0.117 eV per atom. The calculation puts the volume at 107 Å³/cell. The total moment comes out at 2.729 μB per formula unit.

---

# 3
This record from Alexandria describes an optimized crystal structure of UZnBi2. The functional is PBE-GGA.

CIF file:
```
data_UZnBi2
_symmetry_space_group_name_H-M 'R -3 m'
_symmetry_Int_Tables_number 166
_symmetry_space_group_name_Hall '-R 3 2"'
_cell_length_a 4.7544
_cell_length_b 4.7544
_cell_length_c 25.4084
_cell_angle_alpha 90.00
_cell_angle_beta 90.00
_cell_angle_gamma 120.00
loop_
_atom_site_label
_atom_site_fract_x
_atom_site_fract_y
_atom_site_fract_z
U1 0.0000 0.0000 0.0000
Zn1 0.0000 0.0000 0.5000
Bi1 0.0000 0.0000 0.3967
```

Calculated values
For the calculated formation energy, the calculation gives 0.465 eV per atom. The calculation puts the volume at 497 Å³/cell. The total moment comes out at 2.052 μB per formula unit.